Entry i
meta-GGA SCAN Tb2WO6, single point on PBEsol structure; size of the total moment = 0.0 Bohr magnetons per cell; V = 12.96 A^3/atom; crystal system = orthorhombic
1.0
5.2233 0.0000 0.0000
0.0000 9.0532 0.0000
0.0000 0.0000 9.8669
Tb W O
8 4 24
direct
0.0213 0.3973 0.0339 Tb
0.0383 0.2804 0.6275 Tb
0.4617 0.7196 0.1275 Tb
0.4787 0.6027 0.5339 Tb
0.5213 0.1027 0.9661 Tb
0.5383 0.2196 0.3725 Tb
0.9617 0.7804 0.8725 Tb
0.9787 0.8973 0.4661 Tb
0.0409 0.0044 0.1522 W
0.4591 0.9956 0.6522 W
0.5409 0.4956 0.8478 W
0.9591 0.5044 0.3478 W
0.0785 0.6558 0.4714 O
0.1757 0.5476 0.2039 O
0.1798 0.8635 0.6810 O
0.1914 0.8589 0.2647 O
0.2306 0.3871 0.4340 O
0.2498 0.0912 0.5062 O
0.2502 0.9088 0.0062 O
0.2694 0.6129 0.9340 O
0.3086 0.1411 0.7647 O
0.3202 0.1365 0.1810 O
0.3243 0.4524 0.7039 O
0.4215 0.3442 0.9714 O
0.5785 0.8442 0.5286 O
0.6757 0.9524 0.7961 O
0.6798 0.6365 0.3190 O
0.6914 0.6411 0.7353 O
0.7306 0.1129 0.5660 O
0.7498 0.4088 0.4938 O
0.7502 0.5912 0.9938 O
0.7694 0.8871 0.0660 O
0.8086 0.3589 0.2353 O
0.8202 0.3635 0.8190 O
0.8243 0.0476 0.2961 O
0.9215 0.1558 0.0286 O

***

Entry ii
meta-GGA SCAN Tb2WO6, single point on PBEsol structure; size of the total moment = 0.0 Bohr magnetons per cell; V = 12.84 A^3/atom; crystal system = orthorhombic
1.0
-2.7099 1.1199 4.6839
-5.7633 -8.7738 -1.2366
10.7608 -8.2231 8.1918
Tb W O
16 8 48
direct
0.1008 0.3591 0.0616 Tb
0.6008 0.1409 0.0616 Tb
0.0506 0.1442 0.2312 Tb
0.5506 0.3558 0.2312 Tb
0.0506 0.6442 0.2688 Tb
0.5506 0.8558 0.2688 Tb
0.6008 0.6409 0.4384 Tb
0.1008 0.8591 0.4384 Tb
0.8992 0.1409 0.5616 Tb
0.3992 0.3591 0.5616 Tb
0.4494 0.1442 0.7312 Tb
0.9494 0.3558 0.7312 Tb
0.4494 0.6442 0.7688 Tb
0.9494 0.8558 0.7688 Tb
0.8992 0.6409 0.9384 Tb
0.3992 0.8591 0.9384 Tb
0.6110 0.6205 0.1214 W
0.1110 0.8795 0.1214 W
0.6110 0.1205 0.3786 W
0.1110 0.3795 0.3786 W
0.8890 0.6205 0.6214 W
0.3890 0.8795 0.6214 W
0.8890 0.1205 0.8786 W
0.3890 0.3795 0.8786 W
0.0766 0.7871 0.0227 O
0.5766 0.7129 0.0227 O
0.8874 0.5454 0.0760 O
0.3874 0.9546 0.0760 O
0.9117 0.0134 0.1071 O
0.4117 0.4866 0.1071 O
0.3228 0.2297 0.1454 O
0.8228 0.2703 0.1454 O
0.3390 0.7307 0.1713 O
0.8390 0.7693 0.1713 O
0.1738 0.9377 0.2352 O
0.6738 0.5623 0.2352 O
0.6738 0.0623 0.2648 O
0.1738 0.4377 0.2648 O
0.3390 0.2307 0.3287 O
0.8390 0.2693 0.3287 O
0.3228 0.7297 0.3546 O
0.8228 0.7703 0.3546 O
0.9117 0.5134 0.3929 O
0.4117 0.9866 0.3929 O
0.8874 0.0454 0.4240 O
0.3874 0.4546 0.4240 O
0.5766 0.2129 0.4773 O
0.0766 0.2871 0.4773 O
0.9234 0.7129 0.5227 O
0.4234 0.7871 0.5227 O
0.6126 0.5454 0.5760 O
0.1126 0.9546 0.5760 O
0.5883 0.0134 0.6071 O
0.0883 0.4866 0.6071 O
0.1772 0.2297 0.6454 O
0.6772 0.2703 0.6454 O
0.1610 0.7307 0.6713 O
0.6610 0.7693 0.6713 O
0.8262 0.5623 0.7352 O
0.3262 0.9377 0.7352 O
0.8262 0.0623 0.7648 O
0.3262 0.4377 0.7648 O
0.1610 0.2307 0.8287 O
0.6610 0.2693 0.8287 O
0.1772 0.7297 0.8546 O
0.6772 0.7703 0.8546 O
0.5883 0.5134 0.8929 O
0.0883 0.9866 0.8929 O
0.6126 0.0454 0.9240 O
0.1126 0.4546 0.9240 O
0.9234 0.2129 0.9773 O
0.4234 0.2871 0.9773 O

***

Which structure is the least stable? The one labeled entry i.

***

Entry i
meta-GGA SCAN Tb2WO6, single point on PBEsol structure; size of the total moment = 0.0 Bohr magnetons per cell; V = 12.40 A^3/atom; crystal system = monoclinic
1.0
5.3586 -0.0963 -0.0686
2.2311 9.3286 -0.0836
2.2311 2.9698 8.8437
Tb W O
8 4 24
direct
0.2500 0.1093 0.8907 Tb
0.2500 0.6237 0.3763 Tb
0.6126 0.2866 0.0604 Tb
0.1126 0.0604 0.2866 Tb
0.8874 0.9396 0.7134 Tb
0.3874 0.7134 0.9396 Tb
0.7500 0.3763 0.6237 Tb
0.7500 0.8907 0.1093 Tb
0.4177 0.1827 0.5023 W
0.0823 0.4977 0.8173 W
0.9177 0.5023 0.1827 W
0.5823 0.8173 0.4977 W
0.9199 0.0792 0.1029 O
0.7205 0.0371 0.4704 O
0.5799 0.1504 0.6815 O
0.4678 0.3776 0.4624 O
0.0322 0.5376 0.6224 O
0.9201 0.3185 0.8496 O
0.4199 0.1029 0.0792 O
0.4031 0.3772 0.8166 O
0.9031 0.8166 0.3772 O
0.1409 0.6910 0.7771 O
0.6409 0.7771 0.6910 O
0.7795 0.5296 0.9629 O
0.2205 0.4704 0.0371 O
0.3591 0.2229 0.3090 O
0.8591 0.3090 0.2229 O
0.0969 0.1834 0.6228 O
0.5969 0.6228 0.1834 O
0.5801 0.8971 0.9208 O
0.0799 0.6815 0.1504 O
0.9678 0.4624 0.3776 O
0.5322 0.6224 0.5376 O
0.4201 0.8496 0.3185 O
0.2795 0.9629 0.5296 O
0.0801 0.9208 0.8971 O

***

Entry ii
meta-GGA SCAN Tb2WO6, single point on PBEsol structure; size of the total moment = 0.0 Bohr magnetons per cell; V = 12.40 A^3/atom; crystal system = monoclinic
1.0
-1.1578 1.9730 -4.8197
-0.8732 -7.0784 -2.6878
-10.3163 2.9474 3.6846
Tb W O
8 4 24
direct
0.2626 0.0000 0.7500 Tb
0.7374 0.0000 0.2500 Tb
0.8145 0.7970 0.9227 Tb
0.1855 0.7970 0.4227 Tb
0.3190 0.5000 0.7500 Tb
0.6810 0.5000 0.2500 Tb
0.8145 0.2030 0.5773 Tb
0.1855 0.2030 0.0773 Tb
0.7465 0.7221 0.6140 W
0.2535 0.7221 0.1140 W
0.7465 0.2779 0.8860 W
0.2535 0.2779 0.3860 W
0.9616 0.9363 0.6031 O
0.4770 0.8529 0.5702 O
0.0384 0.9363 0.1031 O
0.5379 0.7849 0.7710 O
0.5230 0.8529 0.0702 O
0.0154 0.7116 0.7290 O
0.4621 0.7849 0.2710 O
0.1541 0.6332 0.9514 O
0.6426 0.4893 0.6122 O
0.9846 0.7116 0.2290 O
0.6426 0.5107 0.8878 O
0.1541 0.3668 0.5486 O
0.8459 0.6332 0.4514 O
0.3574 0.4893 0.1122 O
0.0154 0.2884 0.7710 O
0.3574 0.5107 0.3878 O
0.8459 0.3668 0.0486 O
0.5379 0.2151 0.7290 O
0.9846 0.2884 0.2710 O
0.4770 0.1471 0.9298 O
0.4621 0.2151 0.2290 O
0.9616 0.0637 0.8969 O
0.5230 0.1471 0.4298 O
0.0384 0.0637 0.3969 O

***

Which structure is the least stable? The one labeled entry i.

***

Entry i
meta-GGA SCAN Tm2TeO6, single point on PBEsol structure; size of the total moment = 0.0 Bohr magnetons per cell; V = 12.59 A^3/atom; crystal system = orthorhombic
1.0
5.1830 0.0000 0.0000
0.0000 8.9327 0.0000
0.0000 0.0000 9.7883
Tm Te O
8 4 24
direct
0.0190 0.3969 0.0358 Tm
0.0415 0.2823 0.6326 Tm
0.4585 0.7177 0.1326 Tm
0.4810 0.6031 0.5358 Tm
0.5190 0.1031 0.9642 Tm
0.5415 0.2177 0.3674 Tm
0.9585 0.7823 0.8674 Tm
0.9810 0.8969 0.4642 Tm
0.0387 0.0055 0.1500 Te
0.4613 0.9945 0.6500 Te
0.5387 0.4945 0.8500 Te
0.9613 0.5055 0.3500 Te
0.0878 0.6574 0.4723 O
0.1708 0.5509 0.1958 O
0.1898 0.8563 0.2651 O
0.1737 0.8581 0.6797 O
0.2377 0.3853 0.4311 O
0.2452 0.9123 0.0043 O
0.2548 0.0877 0.5043 O
0.2623 0.6147 0.9311 O
0.3263 0.1419 0.1797 O
0.3102 0.1437 0.7651 O
0.3292 0.4491 0.6958 O
0.4122 0.3426 0.9723 O
0.5878 0.8426 0.5277 O
0.6708 0.9491 0.8042 O
0.6898 0.6437 0.7349 O
0.6737 0.6419 0.3203 O
0.7377 0.1147 0.5689 O
0.7452 0.5877 0.9957 O
0.7548 0.4123 0.4957 O
0.7623 0.8853 0.0689 O
0.8263 0.3581 0.8203 O
0.8102 0.3563 0.2349 O
0.8292 0.0509 0.3042 O
0.9122 0.1574 0.0277 O

***

Entry ii
meta-GGA SCAN Tm2TeO6, single point on PBEsol structure; size of the total moment = 0.0 Bohr magnetons per cell; V = 13.08 A^3/atom; crystal system = tetragonal
1.0
-4.0606 -2.7159 -0.0443
0.1533 -0.3087 4.8731
-5.4744 8.1736 0.6900
Tm Te O
4 2 12
direct
0.5000 0.5000 0.3345 Tm
0.5000 0.5000 0.6655 Tm
0.0000 0.0000 0.1655 Tm
0.0000 0.0000 0.8345 Tm
0.5000 0.5000 0.0000 Te
0.0000 0.0000 0.5000 Te
0.6849 0.6849 0.1482 O
0.6849 0.6849 0.8518 O
0.7184 0.7184 0.5000 O
0.7816 0.2184 0.0000 O
0.8151 0.1849 0.3518 O
0.8151 0.1849 0.6482 O
0.1849 0.8151 0.3518 O
0.1849 0.8151 0.6482 O
0.2184 0.7816 0.0000 O
0.2816 0.2816 0.5000 O
0.3151 0.3151 0.1482 O
0.3151 0.3151 0.8518 O

***

Which structure is the least stable? The one labeled entry ii.

***

Entry i
meta-GGA SCAN Ti2O, single point on PBEsol structure; size of the total moment = 0.0 Bohr magnetons per cell; V = 12.12 A^3/atom; crystal system = monoclinic
1.0
-1.9551 -1.2604 -1.7736
-0.7691 -3.2321 3.1447
-5.8601 4.7824 3.0612
Ti O
6 3
direct
0.5000 0.2642 0.9142 Ti
0.5000 0.7461 0.4279 Ti
0.5000 0.7358 0.0858 Ti
0.5000 0.2539 0.5721 Ti
0.0000 0.2485 0.2423 Ti
0.0000 0.7515 0.7577 Ti
0.0000 0.2890 0.7411 O
0.0000 0.7110 0.2589 O
0.0000 0.0000 0.0000 O

***

Entry ii
meta-GGA SCAN Ti2O, single point on PBEsol structure; size of the total moment = 0.0 Bohr magnetons per cell; V = 11.92 A^3/atom; crystal system = trigonal
1.0
2.9529 0.0000 0.0000
-1.4765 2.5573 0.0000
0.0000 0.0000 4.7337
O Ti
1 2
direct
0.0000 0.0000 0.0000 O
0.3333 0.6667 0.7360 Ti
0.6667 0.3333 0.2640 Ti

***

Which structure is the least stable? The one labeled entry i.

***

Entry i
meta-GGA SCAN Y2W2O9, single point on PBEsol structure; size of the total moment = 0.0 Bohr magnetons per cell; V = 12.87 A^3/atom; crystal system = orthorhombic
1.0
-0.5502 5.1784 0.8288
-3.1498 0.3812 -4.4729
-18.7880 -4.0583 12.8846
Y W O
8 8 36
direct
0.2773 0.9486 0.2978 Y
0.7773 0.9486 0.2022 Y
0.2773 0.5514 0.7022 Y
0.7773 0.5514 0.7978 Y
0.7227 0.4486 0.2978 Y
0.2227 0.4486 0.2022 Y
0.7227 0.0514 0.7022 Y
0.2227 0.0514 0.7978 Y
0.7535 0.8498 0.4238 W
0.2535 0.8498 0.0762 W
0.7535 0.6502 0.5762 W
0.2535 0.6502 0.9238 W
0.2465 0.3498 0.4238 W
0.7465 0.3498 0.0762 W
0.2465 0.1502 0.5762 W
0.7465 0.1502 0.9238 W
0.5416 0.0110 0.0996 O
0.4584 0.9890 0.9004 O
0.0031 0.8071 0.7404 O
0.4438 0.9018 0.5565 O
0.5031 0.8071 0.7596 O
0.9438 0.9018 0.9435 O
0.6152 0.7974 0.3521 O
0.1152 0.7974 0.1479 O
0.3498 0.7500 0.0000 O
0.8498 0.7500 0.5000 O
0.6152 0.7026 0.6479 O
0.1152 0.7026 0.8521 O
0.4438 0.5982 0.4435 O
0.0031 0.6929 0.2596 O
0.9438 0.5982 0.0565 O
0.5031 0.6929 0.2404 O
0.9584 0.5110 0.4004 O
0.0416 0.4890 0.5996 O
0.4584 0.5110 0.0996 O
0.5416 0.4890 0.9004 O
0.9969 0.3071 0.7404 O
0.5562 0.4018 0.5565 O
0.4969 0.3071 0.7596 O
0.0562 0.4018 0.9435 O
0.3848 0.2974 0.3521 O
0.8848 0.2974 0.1479 O
0.6502 0.2500 0.0000 O
0.1502 0.2500 0.5000 O
0.3848 0.2026 0.6479 O
0.8848 0.2026 0.8521 O
0.5562 0.0982 0.4435 O
0.9969 0.1929 0.2596 O
0.0562 0.0982 0.0565 O
0.4969 0.1929 0.2404 O
0.0416 0.0110 0.4004 O
0.9584 0.9890 0.5996 O

***

Entry ii
meta-GGA SCAN Y2W2O9, single point on PBEsol structure; size of the total moment = 0.2 Bohr magnetons per cell; V = 12.15 A^3/atom; crystal system = orthorhombic
1.0
-1.4856 6.9324 0.0576
-9.2169 -1.9914 1.9509
4.3969 0.8715 8.5224
Y W O
8 8 36
direct
0.4994 0.1224 0.4099 Y
0.5006 0.4099 0.1224 Y
0.2500 0.7732 0.2268 Y
0.7500 0.7734 0.2266 Y
0.2500 0.2266 0.7734 Y
0.7500 0.2268 0.7732 Y
0.0006 0.5901 0.8776 Y
0.9994 0.8776 0.5901 Y
0.0000 0.9519 0.9519 W
0.9996 0.1451 0.3922 W
0.0004 0.3922 0.1451 W
0.2500 0.4998 0.5002 W
0.7500 0.5002 0.4998 W
0.5004 0.6078 0.8549 W
0.4996 0.8549 0.6078 W
0.5000 0.0481 0.0481 W
0.2064 0.3282 0.0300 O
0.7936 0.0300 0.3282 O
0.5000 0.2035 0.2035 O
0.7944 0.3282 0.0300 O
0.2056 0.0300 0.3282 O
0.0000 0.2249 0.2249 O
0.9996 0.1107 0.5772 O
0.0004 0.5772 0.1107 O
0.1887 0.3025 0.4761 O
0.8113 0.4761 0.3025 O
0.8116 0.3029 0.4760 O
0.1884 0.4760 0.3029 O
0.5002 0.6322 0.2078 O
0.4998 0.2078 0.6322 O
0.5000 0.4403 0.4403 O
0.9997 0.0897 0.8483 O
0.0003 0.8483 0.0897 O
0.7500 0.9998 0.0002 O
0.2500 0.0002 0.9998 O
0.5003 0.1517 0.9103 O
0.4997 0.9103 0.1517 O
0.0000 0.5597 0.5597 O
0.0001 0.3678 0.7922 O
0.9998 0.7922 0.3678 O
0.6884 0.5240 0.6971 O
0.3116 0.6971 0.5240 O
0.3113 0.5239 0.6975 O
0.6887 0.6975 0.5239 O
0.4996 0.8893 0.4228 O
0.5004 0.4228 0.8893 O
0.5000 0.7751 0.7751 O
0.7056 0.9700 0.6718 O
0.2944 0.6718 0.9700 O
0.0000 0.7965 0.7965 O
0.2936 0.9700 0.6718 O
0.7064 0.6718 0.9700 O

***

Which structure is the least stable? The one labeled entry ii.